Record 1
Crystalline LaTa2AuS at its relaxed geometry. Source: Alexandria via LeMat-Bulk, functional GGA-PBE.

POSCAR file:
```
LaTa2AuS
1.0
4.589 0.000 0.000
0.000 4.589 0.000
0.000 0.000 5.429
La Ta Au S
1 2 1 1
Direct
0.000 0.000 0.000
0.000 0.500 0.500
0.500 0.000 0.500
0.500 0.500 0.000
0.000 0.000 0.500
```

VASP energy (eV/atom): -7.145
Space-group type: No. 123

=====

Record 2
Crystalline NbCoAs at its relaxed geometry. Source: Alexandria via LeMat-Bulk, functional GGA-PBE.

POSCAR file:
```
NbCoAs
1.0
6.317 0.000 0.000
0.000 3.759 0.000
0.000 0.000 7.168
Nb Co As
4 4 4
Direct
0.024 0.250 0.172
0.476 0.750 0.672
0.524 0.250 0.328
0.976 0.750 0.828
0.150 0.250 0.563
0.350 0.750 0.063
0.650 0.250 0.937
0.850 0.750 0.437
0.221 0.750 0.378
0.279 0.250 0.878
0.721 0.750 0.122
0.779 0.250 0.622
```

DFT formation energy (eV per formula unit): -1.60
Space-group type: No. 62

=====

Record 3
Crystalline Cs2ScBr6Cl at its relaxed geometry. Source: Alexandria via LeMat-Bulk, functional GGA-PBE.

POSCAR file:
```
Cs2ScBr6Cl
1.0
-3.926 3.926 6.223
3.926 -3.926 6.223
3.926 3.926 -6.223
Cs Sc Br Cl
2 1 6 1
Direct
0.250 0.750 0.500
0.750 0.250 0.500
0.000 0.000 0.000
0.211 0.211 0.000
0.241 0.241 0.481
0.241 0.759 0.000
0.759 0.241 0.000
0.759 0.759 0.519
0.789 0.789 0.000
0.500 0.500 0.000
```

VASP energy (eV/atom): -3.271
Space-group type: No. 139

=====

Record 4
Crystalline BaZnRh2 at its relaxed geometry. Source: Alexandria via LeMat-Bulk, functional GGA-PBE.

POSCAR file:
```
BaZnRh2
1.0
4.470 0.000 0.000
0.000 7.393 0.000
0.000 0.000 5.890
Ba Zn Rh
2 2 4
Direct
0.250 0.250 0.101
0.750 0.750 0.899
0.250 0.750 0.404
0.750 0.250 0.596
0.250 0.071 0.574
0.250 0.429 0.574
0.750 0.571 0.426
0.750 0.929 0.426
```

DFT formation energy (eV per formula unit): -1.00
Space-group type: No. 59

=====

Record 5
Crystalline LiY2Ag at its relaxed geometry. Source: Alexandria via LeMat-Bulk, functional GGA-PBE.

POSCAR file:
```
LiY2Ag
1.0
-1.797 2.568 5.378
1.797 -2.568 5.378
1.797 2.568 -5.378
Li Y Ag
1 2 1
Direct
0.000 0.000 0.000
0.283 0.783 0.500
0.567 0.567 0.000
0.809 0.309 0.500
```

DFT formation energy (eV per formula unit): -0.20
Space-group type: No. 44

=====

Record 6
Crystalline LuIn2Hg at its relaxed geometry. Source: Alexandria via LeMat-Bulk, functional GGA-PBE.

POSCAR file:
```
LuIn2Hg
1.0
4.568 0.000 0.000
0.000 4.568 0.000
0.000 0.000 4.556
Lu In Hg
1 2 1
Direct
0.000 0.000 0.000
0.000 0.500 0.500
0.500 0.000 0.500
0.500 0.500 0.000
```

DFT formation energy (eV per formula unit): -1.25
Space-group type: No. 123

=====

Record 7
Crystalline KGe4Cl8 at its relaxed geometry. Source: Alexandria via LeMat-Bulk, functional GGA-PBE.

POSCAR file:
```
KGe4Cl8
1.0
7.512 -4.464 0.000
7.512 4.464 0.000
-6.355 0.000 7.627
K Ge Cl
1 4 8
Direct
0.000 0.000 0.000
0.219 0.781 0.500
0.246 0.246 0.503
0.754 0.754 0.497
0.781 0.219 0.500
0.104 0.708 0.662
0.128 0.128 0.689
0.278 0.278 0.303
0.292 0.896 0.338
0.708 0.104 0.662
0.722 0.722 0.697
0.872 0.872 0.311
0.896 0.292 0.338
```

VASP energy (eV/atom): -3.458
Space-group type: No. 12

=====

Record 8
Crystalline Sm7Zn2Pd2 at its relaxed geometry. Source: Alexandria via LeMat-Bulk, functional GGA-PBE.

POSCAR file:
```
Sm7Zn2Pd2
1.0
3.912 -5.553 0.000
3.912 5.553 0.000
0.000 0.000 7.307
Sm Zn Pd
7 2 2
Direct
0.000 0.000 0.000
0.000 0.500 0.268
0.000 0.500 0.732
0.500 0.000 0.268
0.500 0.000 0.732
0.500 0.500 0.262
0.500 0.500 0.738
0.164 0.164 0.500
0.836 0.836 0.500
0.294 0.706 0.000
0.706 0.294 0.000
```

DFT formation energy (eV per formula unit): -2.50
Space-group type: No. 65

=====

Record 9
Crystalline CuGeCN2 at its relaxed geometry. Source: Alexandria via LeMat-Bulk, functional GGA-PBE.

POSCAR file:
```
CuGeCN2
1.0
3.737 0.000 0.000
0.000 3.737 0.000
0.000 0.000 3.741
Cu Ge C N
1 1 1 2
Direct
0.000 0.000 0.000
0.500 0.500 0.000
0.000 0.000 0.500
0.000 0.500 0.500
0.500 0.000 0.500
```

VASP energy (eV/atom): -4.885
Space-group type: No. 123

=====

Record 10
Crystalline PuSbF at its relaxed geometry. Source: Alexandria via LeMat-Bulk, functional GGA-PBE.

POSCAR file:
```
PuSbF
1.0
-1.680 1.680 5.812
1.680 -1.680 5.812
1.680 1.680 -5.812
Pu Sb F
1 1 1
Direct
0.000 0.000 0.000
0.294 0.294 0.000
0.573 0.573 0.000
```

VASP energy (eV/atom): -8.363
Space-group type: No. 107

=====

Record 11
Crystalline SrAc2Sm at its relaxed geometry. Source: Alexandria via LeMat-Bulk, functional GGA-PBE.

POSCAR file:
```
SrAc2Sm
1.0
5.639 0.000 0.000
0.000 5.639 0.000
0.000 0.000 5.412
Sr Ac Sm
1 2 1
Direct
0.000 0.000 0.000
0.000 0.500 0.500
0.500 0.000 0.500
0.500 0.500 0.000
```

DFT formation energy (eV per formula unit): 0.46
Space-group type: No. 123